1.
YTa2Zn: relaxed, PBE.

* calculated formation energy: 0.2689 eV per atom
* M_tot: 0.00 μB/cell
* crystal system: orthorhombic
* energy: -30.368 eV per cell

a b c (Å): 3.298 4.725 5.126
angles (deg): 90.00 90.00 90.00
Fractional coordinates of all 4 atoms:
Y: 0.000 0.000 0.000
Ta: 0.000 0.500 0.500
Ta: 0.500 0.000 0.500
Zn: 0.500 0.500 0.000

***

2.
CsLiNb4N8: relaxed, PBE.

* M_tot: 0.00 μB/cell
* crystal system: trigonal
* energy: -113.006 eV per cell

a b c (Å): 6.772 6.772 6.772
angles (deg): 56.16 56.16 56.16
Fractional coordinates of all 14 atoms:
Cs: 0.000 0.000 0.000
Li: 0.361 0.361 0.361
Nb: 0.360 0.360 0.863
Nb: 0.360 0.863 0.360
Nb: 0.737 0.737 0.737
Nb: 0.863 0.360 0.360
N: 0.107 0.107 0.536
N: 0.107 0.536 0.107
N: 0.108 0.615 0.615
N: 0.132 0.132 0.132
N: 0.536 0.107 0.107
N: 0.594 0.594 0.594
N: 0.615 0.108 0.615
N: 0.615 0.615 0.108

***

3.
Ac2TbSm8: relaxed, PBE.

* calculated formation energy: 0.1521 eV per atom
* M_tot: 0.00 μB/cell
* energy relative to the lowest polymorph listed for this composition: 0.000 eV/atom
* crystal system: monoclinic
* energy: -48.927 eV per cell

a b c (Å): 9.081 9.081 7.003
angles (deg): 99.91 99.91 44.53
Fractional coordinates of all 11 atoms:
Ac: 0.199 0.199 0.309
Ac: 0.801 0.801 0.691
Tb: 0.000 0.000 0.500
Sm: 0.178 0.650 0.102
Sm: 0.245 0.245 0.820
Sm: 0.350 0.822 0.898
Sm: 0.414 0.414 0.596
Sm: 0.586 0.586 0.404
Sm: 0.650 0.178 0.102
Sm: 0.755 0.755 0.180
Sm: 0.822 0.350 0.898

***

4.
Te2AsBr2: relaxed, PBE.

* M_tot: 0.00 μB/cell
* crystal system: tetragonal
* energy: -12.643 eV per cell

a b c (Å): 9.728 9.728 9.728
angles (deg): 155.76 155.76 34.55
Fractional coordinates of all 5 atoms:
Te: 0.073 0.073 0.000
Te: 0.927 0.927 0.000
As: 0.500 0.500 0.000
Br: 0.250 0.750 0.500
Br: 0.750 0.250 0.500

***

5.
Rb2AcU3O12: relaxed, PBE.

* M_tot: 0.00 μB/cell
* crystal system: trigonal
* energy: -151.078 eV per cell

a b c (Å): 7.467 7.467 7.467
angles (deg): 67.50 67.50 67.50
Fractional coordinates of all 18 atoms:
Rb: 0.118 0.118 0.118
Rb: 0.882 0.882 0.882
Ac: 0.500 0.500 0.500
U: 0.000 0.500 0.500
U: 0.500 0.000 0.500
U: 0.500 0.500 0.000
O: 0.095 0.621 0.621
O: 0.233 0.233 0.588
O: 0.233 0.588 0.233
O: 0.379 0.379 0.905
O: 0.379 0.905 0.379
O: 0.412 0.767 0.767
O: 0.588 0.233 0.233
O: 0.621 0.095 0.621
O: 0.621 0.621 0.095
O: 0.767 0.412 0.767
O: 0.767 0.767 0.412
O: 0.905 0.379 0.379

***

6.
Mg2SbOs: relaxed, PBE.

* M_tot: 0.00 μB/cell
* crystal system: tetragonal
* energy: -34.791 eV per cell

a b c (Å): 7.574 7.574 7.574
angles (deg): 96.18 96.18 141.71
Fractional coordinates of all 8 atoms:
Mg: 0.000 0.000 0.000
Mg: 0.000 0.000 0.500
Mg: 0.000 0.500 0.000
Mg: 0.500 0.000 0.500
Sb: 0.375 0.625 0.750
Sb: 0.625 0.375 0.250
Os: 0.125 0.875 0.250
Os: 0.875 0.125 0.750

***

7.
Nb2IrWAu: relaxed, PBE.

* calculated formation energy: 1.5572 eV per atom
* M_tot: 0.00 μB/cell
* crystal system: tetragonal
* energy: -37.445 eV per cell

a b c (Å): 4.740 4.740 4.913
angles (deg): 90.00 90.00 90.00
Fractional coordinates of all 5 atoms:
Nb: 0.000 0.500 0.000
Nb: 0.500 0.000 0.000
Ir: 0.000 0.000 0.000
W: 0.500 0.500 0.500
Au: 0.000 0.000 0.500

***

8.
ZrSb2Br: relaxed, PBE.

* M_tot: 0.00 μB/cell
* energy relative to the lowest polymorph listed for this composition: 0.280 eV/atom
* crystal system: monoclinic
* energy: -19.405 eV per cell

a b c (Å): 5.664 5.664 5.544
angles (deg): 100.28 100.28 36.91
Fractional coordinates of all 4 atoms:
Zr: 0.000 0.000 0.000
Sb: 0.275 0.275 0.802
Sb: 0.725 0.725 0.198
Br: 0.500 0.500 0.500